No. 1
Cu4Hg3: optimized geometry, PBE-GGA.

The excess energy over the best structure of this formula in the dataset is 0 meV/atom. The density of states at the Fermi level comes out at 2.31 states/eV/cell. Its magnetization is 0.000 μB/atom. Its formation energy is 0.161 eV per atom. The value obtained for the total energy is -16.16 eV per formula unit.

Cell lengths 11.828, 11.828, 11.828 Å; angles 164.69, 164.69, 21.72 degrees
Atoms (fractional coordinates):
Cu (0.073, 0.073, 0.000)
Cu (0.376, 0.376, 0.000)
Cu (0.624, 0.624, 0.000)
Cu (0.927, 0.927, 0.000)
Hg (0.198, 0.198, 0.000)
Hg (0.500, 0.500, 0.000)
Hg (0.802, 0.802, 0.000)

=====

No. 2
Tc2TeSe: optimized geometry, PBE-GGA.

The excess energy over the best structure of this formula in the dataset is 285 meV/atom. As for the uncorrected formation energy: 1.09 eV per formula unit. The density of states at the Fermi level comes out at 1.76 states/eV/cell. Its magnetization is 0.000 μB/atom. The value obtained for the total energy is -26.27 eV per formula unit.

Cell lengths 3.216, 3.216, 6.400 Å; angles 90.00, 90.00, 90.00 degrees
Atoms (fractional coordinates):
Tc (0.000, 0.000, 0.241)
Tc (0.000, 0.000, 0.759)
Te (0.500, 0.500, 0.500)
Se (0.500, 0.500, 0.000)

=====

No. 3
SrIr2Rh: optimized geometry, PBE-GGA.

The excess energy over the best structure of this formula in the dataset is 482 meV/atom. The density of states at the Fermi level comes out at 6.45 states/eV/cell. Its magnetization is 0.695 μB/atom. Its formation energy is 0.672 eV per atom. The value obtained for the total energy is -24.07 eV per formula unit.

Cell lengths 4.695, 4.695, 4.695 Å; angles 60.00, 60.00, 60.00 degrees
Atoms (fractional coordinates):
Sr (0.000, 0.000, 0.000)
Ir (0.250, 0.250, 0.250)
Ir (0.750, 0.750, 0.750)
Rh (0.500, 0.500, 0.500)

=====

No. 4
CeNdPuHg: optimized geometry, PBE-GGA.

The density of states at the Fermi level comes out at 8.50 states/eV/cell. Its magnetization is 2.017 μB/atom. Its formation energy is -0.001 eV per atom. The value obtained for the total energy is -25.34 eV per formula unit.

Cell lengths 5.329, 5.329, 5.329 Å; angles 60.00, 60.00, 60.00 degrees
Atoms (fractional coordinates):
Ce (0.000, 0.000, 0.000)
Nd (0.250, 0.250, 0.250)
Pu (0.750, 0.750, 0.750)
Hg (0.500, 0.500, 0.500)

=====

No. 5
Na3UBi2Se6: optimized geometry, PBE-GGA.

As for the uncorrected formation energy: -10.46 eV per formula unit. The density of states at the Fermi level comes out at 5.01 states/eV/cell. Its magnetization is 0.249 μB/atom. The value obtained for the total energy is -54.38 eV per formula unit.

Cell lengths 7.395, 7.395, 7.427 Å; angles 99.52, 99.52, 120.01 degrees
Atoms (fractional coordinates):
Na (0.000, 0.000, 0.000)
Na (0.327, 0.673, 0.000)
Na (0.673, 0.327, 0.000)
U (0.500, 0.500, 0.500)
Bi (0.166, 0.834, 0.500)
Bi (0.834, 0.166, 0.500)
Se (0.094, 0.422, 0.264)
Se (0.251, 0.251, 0.737)
Se (0.422, 0.094, 0.264)
Se (0.578, 0.906, 0.736)
Se (0.749, 0.749, 0.263)
Se (0.906, 0.578, 0.736)

=====

No. 6
CdOsW2Se: optimized geometry, PBE-GGA.

As for the uncorrected formation energy: 10.25 eV per formula unit. The density of states at the Fermi level comes out at 7.04 states/eV/cell. Its magnetization is 0.000 μB/atom. The value obtained for the total energy is -31.28 eV per formula unit.

Cell lengths 4.557, 4.557, 4.852 Å; angles 90.00, 90.00, 90.00 degrees
Atoms (fractional coordinates):
Cd (0.000, 0.000, 0.000)
Os (0.500, 0.500, 0.000)
W (0.000, 0.500, 0.500)
W (0.500, 0.000, 0.500)
Se (0.000, 0.000, 0.500)

=====

No. 7
NaMg3In7: optimized geometry, PBE-GGA.

The density of states at the Fermi level comes out at 8.10 states/eV/cell. Its magnetization is 0.000 μB/atom. Its formation energy is -0.022 eV per atom. The value obtained for the total energy is -25.51 eV per formula unit.

Cell lengths 12.379, 12.379, 10.665 Å; angles 90.00, 90.00, 159.55 degrees
Atoms (fractional coordinates):
Na (0.130, 0.870, 0.750)
Na (0.870, 0.130, 0.250)
Mg (0.029, 0.971, 0.115)
Mg (0.029, 0.971, 0.385)
Mg (0.280, 0.720, 0.750)
Mg (0.720, 0.280, 0.250)
Mg (0.971, 0.029, 0.615)
Mg (0.971, 0.029, 0.885)
In (0.156, 0.844, 0.078)
In (0.156, 0.844, 0.422)
In (0.288, 0.712, 0.093)
In (0.288, 0.712, 0.407)
In (0.408, 0.592, 0.750)
In (0.435, 0.565, 0.076)
In (0.435, 0.565, 0.424)
In (0.565, 0.435, 0.576)
In (0.565, 0.435, 0.924)
In (0.592, 0.408, 0.250)
In (0.712, 0.288, 0.593)
In (0.712, 0.288, 0.907)
In (0.844, 0.156, 0.578)
In (0.844, 0.156, 0.922)

=====

No. 8
Li2TcW: optimized geometry, PBE-GGA.

The excess energy over the best structure of this formula in the dataset is 0 meV/atom. The density of states at the Fermi level comes out at 2.52 states/eV/cell. Its magnetization is 0.000 μB/atom. Its formation energy is 0.215 eV per atom. The value obtained for the total energy is -26.29 eV per formula unit.

Cell lengths 2.687, 2.687, 9.411 Å; angles 90.00, 90.00, 111.17 degrees
Atoms (fractional coordinates):
Li (0.000, 0.000, 0.000)
Li (0.500, 0.500, 0.276)
Tc (0.000, 0.000, 0.516)
W (0.500, 0.500, 0.747)